[1]
A relaxed Sr2SiAs crystal. Source: Alexandria via LeMat-Bulk, functional PBE-GGA.

Properties
size of the total moment: 0.00 μB per formula unit
formation energy without anion corrections: -0.483 eV/atom
VASP energy: -3.842 eV per atom
ρ: 4.236 g/cm3
polymorph energy (0 for the lowest one): 9.4 meV per atom

Unit cell a=6.8441 b=8.5152 c=3.7430 alpha=90.00 beta=90.00 gamma=90.00
Space group Cmmm (No. 65)
Asymmetric unit:
1 Sr 0.2500 0.2500 0.0000
2 Si 0.0000 0.0000 0.5000
3 As 0.0000 0.5000 0.5000

[2]
A relaxed SrSiAs crystal. Source: Alexandria via LeMat-Bulk, functional PBE-GGA.

Properties
size of the total moment: 0.00 μB per formula unit
formation energy without anion corrections: -0.476 eV/atom
VASP energy: -4.394 eV per atom
ρ: 4.120 g/cm3

Unit cell a=4.4665 b=4.4665 c=4.4469 alpha=90.00 beta=90.00 gamma=120.00
Space group P-6m2 (No. 187)
Asymmetric unit:
1 Sr 0.0000 0.0000 0.0000
2 Si 0.3333 0.6667 0.5000
3 As 0.6667 0.3333 0.5000

[3]
A relaxed Sr2SiAs3 crystal. Source: Alexandria via LeMat-Bulk, functional PBE-GGA.

Properties
size of the total moment: 0.00 μB per formula unit
formation energy without anion corrections: -0.699 eV/atom
VASP energy: -4.488 eV per atom
ρ: 4.235 g/cm3

Unit cell a=6.5032 b=13.5414 c=15.2497 alpha=90.00 beta=90.39 gamma=90.00
Space group C2/c (No. 15)
Asymmetric unit:
1 Sr 0.2288 0.2058 0.3472
2 Sr 0.2349 0.1014 0.9365
3 Si 0.2121 0.4995 0.3511
4 As 0.0000 0.0263 0.2500
5 As 0.0000 0.4118 0.2500
6 As 0.2167 0.3270 0.8622
7 As 0.2402 0.3936 0.4691

[4]
A relaxed Sr2SiAs crystal. Source: Alexandria via LeMat-Bulk, functional PBE-GGA.

Properties
size of the total moment: 0.18 μB per formula unit
formation energy without anion corrections: -0.315 eV/atom
VASP energy: -3.674 eV per atom
ρ: 3.629 g/cm3
polymorph energy (0 for the lowest one): 178.0 meV per atom

Unit cell a=4.0755 b=4.0755 c=26.5564 alpha=90.00 beta=90.00 gamma=120.00
Space group R-3m (No. 166, hexagonal axes)
Asymmetric unit:
1 Sr 0.0000 0.0000 0.2446
2 Si 0.0000 0.0000 0.0000
3 As 0.0000 0.0000 0.5000

[5]
A relaxed SrSiAs crystal. Source: Alexandria via LeMat-Bulk, functional PBE-GGA.

Properties
size of the total moment: 0.00 μB per formula unit
formation energy without anion corrections: -0.563 eV/atom
VASP energy: -4.481 eV per atom
ρ: 3.902 g/cm3

Unit cell a=12.0599 b=3.8580 c=7.0841 alpha=90.00 beta=100.12 gamma=90.00
Space group C2/m (No. 12)
Asymmetric unit:
1 Sr 0.1469 0.0000 0.2462
2 Si 0.0963 0.5000 0.5714
3 As 0.1261 0.0000 0.7893

[6]
A relaxed SrSiTeAs2 crystal. Source: Alexandria via LeMat-Bulk, functional PBE-GGA.

Properties
size of the total moment: 0.00 μB per formula unit
formation energy without anion corrections: -0.155 eV/atom
VASP energy: -4.064 eV per atom
ρ: 4.911 g/cm3
polymorph energy (0 for the lowest one): 0.0 meV per atom

Unit cell a=4.8981 b=4.8981 c=5.5409 alpha=90.00 beta=90.00 gamma=90.00
Space group P4/mmm (No. 123)
Asymmetric unit:
1 Sr 0.0000 0.0000 0.0000
2 Si 0.5000 0.5000 0.5000
3 Te 0.5000 0.5000 0.0000
4 As 0.0000 0.5000 0.5000

Which value of VASP energy does entry 3 give? -4.488 eV per atom

Which of these has the highest ρ? SrSiTeAs2

Number 5 is which compound? SrSiAs